Model one:
Below is an optimized crystal structure of K2ZnAgF6, with properties calculated at the PBE level.

Cell lengths 5.817, 5.817, 5.817 Å; angles 59.77, 59.77, 59.77 degrees
Atoms (fractional coordinates):
Ag 0.000 0.000 0.000
F 0.263 0.738 0.261
F 0.739 0.737 0.262
F 0.738 0.261 0.263
F 0.262 0.739 0.737
F 0.261 0.263 0.738
F 0.737 0.262 0.739
K 0.250 0.250 0.250
K 0.750 0.750 0.750
Zn 0.500 0.500 0.500

Calculated values
* volume: 13.847 Å³ per atom

Model two:
Below is an optimized crystal structure of K2ZnAgF6, with properties calculated at the PBE level.

Cell lengths 5.841, 5.842, 10.122 Å; angles 90.00, 125.16, 90.00 degrees
Atoms (fractional coordinates):
Ag 0.000 0.000 0.000
Ag 0.000 0.500 0.500
F 0.320 0.230 0.024
F 0.256 0.705 0.025
F 0.784 0.504 0.237
F 0.216 0.004 0.263
F 0.744 0.205 0.475
F 0.680 0.730 0.476
F 0.320 0.270 0.524
F 0.256 0.795 0.525
F 0.784 0.996 0.737
F 0.216 0.496 0.763
F 0.744 0.295 0.975
F 0.680 0.770 0.976
K 0.747 0.980 0.250
K 0.253 0.480 0.250
K 0.747 0.520 0.750
K 0.253 0.020 0.750
Zn 0.500 0.500 0.000
Zn 0.500 0.000 0.500

Calculated values
* volume: 14.119 Å³ per atom

Energies in meV/atom, measured from the most stable structure: model one 25; model two 0.

Model one:
Below is an optimized crystal structure of K2ZnAgF6, with properties calculated at the PBE level.

Cell lengths 5.871, 5.871, 5.871 Å; angles 119.99, 119.99, 90.01 degrees
Atoms (fractional coordinates):
Ag 0.500 0.500 0.000
F 0.763 0.237 0.000
F 0.237 0.237 0.000
F 0.763 0.763 0.000
F 0.237 0.763 0.000
F 0.237 0.237 0.474
F 0.763 0.763 0.526
K 0.750 0.250 0.500
K 0.250 0.750 0.500
Zn 0.000 0.000 0.000

Calculated values
* volume: 14.314 Å³ per atom

Model two:
Below is an optimized crystal structure of K2ZnAgF6, with properties calculated at the PBE level.

Cell lengths 5.827, 5.827, 5.827 Å; angles 119.91, 119.91, 60.10 degrees
Atoms (fractional coordinates):
Ag 0.500 0.500 0.500
F 0.762 0.237 0.237
F 0.237 0.762 0.237
F 0.238 0.238 0.238
F 0.762 0.762 0.762
F 0.763 0.238 0.763
F 0.238 0.763 0.763
K 0.750 0.750 0.250
K 0.250 0.250 0.750
Zn 0.000 0.000 0.000

Calculated values
* volume: 14.019 Å³ per atom

Energies in meV/atom, measured from the most stable structure: model one 0; model two 15.

Model one:
Below is an optimized crystal structure of NaTl2AgF6, with properties calculated at the PBE level.

Cell lengths 5.992, 5.992, 5.992 Å; angles 120.30, 120.30, 89.48 degrees
Atoms (fractional coordinates):
Ag 0.500 0.500 0.000
F 0.255 0.255 0.000
F 0.745 0.745 0.000
F 0.280 0.770 0.050
F 0.770 0.720 0.491
F 0.230 0.280 0.509
F 0.720 0.230 0.950
Na 0.000 0.000 0.000
Tl 0.750 0.250 0.500
Tl 0.250 0.750 0.500

Calculated values
* volume: 15.140 Å³ per atom

Model two:
Below is an optimized crystal structure of NaTl2AgF6, with properties calculated at the PBE level.

Cell lengths 12.332, 5.368, 8.872 Å; angles 90.00, 90.00, 90.00 degrees
Atoms (fractional coordinates):
Ag 0.228 0.750 0.063
Ag 0.728 0.750 0.437
Ag 0.272 0.250 0.563
Ag 0.772 0.250 0.937
F 0.405 0.508 0.061
F 0.405 0.992 0.061
F 0.216 0.250 0.102
F 0.020 0.507 0.178
F 0.020 0.993 0.178
F 0.732 0.750 0.185
F 0.232 0.750 0.315
F 0.520 0.507 0.322
F 0.520 0.993 0.322
F 0.716 0.250 0.398
F 0.905 0.508 0.439
F 0.905 0.992 0.439
F 0.095 0.008 0.561
F 0.095 0.492 0.561
F 0.284 0.750 0.602
F 0.480 0.007 0.678
F 0.480 0.493 0.678
F 0.768 0.250 0.685
F 0.268 0.250 0.815
F 0.980 0.007 0.822
F 0.980 0.493 0.822
F 0.784 0.750 0.898
F 0.595 0.008 0.939
F 0.595 0.492 0.939
Na 0.932 0.750 0.010
Na 0.432 0.750 0.490
Na 0.568 0.250 0.510
Na 0.068 0.250 0.990
Tl 0.557 0.750 0.130
Tl 0.837 0.250 0.216
Tl 0.337 0.250 0.284
Tl 0.057 0.750 0.370
Tl 0.943 0.250 0.630
Tl 0.663 0.750 0.716
Tl 0.163 0.750 0.784
Tl 0.443 0.250 0.870

Calculated values
* volume: 14.683 Å³ per atom

Model three:
Below is an optimized crystal structure of NaTl2AgF6, with properties calculated at the PBE level.

Cell lengths 5.637, 6.194, 9.673 Å; angles 90.00, 125.15, 90.00 degrees
Atoms (fractional coordinates):
Ag 0.500 0.500 0.000
Ag 0.500 0.000 0.500
F 0.199 0.320 0.066
F 0.402 0.833 0.072
F 0.053 0.927 0.238
F 0.947 0.427 0.262
F 0.598 0.333 0.428
F 0.801 0.820 0.434
F 0.199 0.180 0.566
F 0.402 0.667 0.572
F 0.053 0.573 0.738
F 0.947 0.073 0.762
F 0.598 0.167 0.928
F 0.801 0.680 0.934
Na 0.000 0.000 0.000
Na 0.000 0.500 0.500
Tl 0.288 0.605 0.249
Tl 0.712 0.105 0.251
Tl 0.288 0.895 0.749
Tl 0.712 0.395 0.751

Calculated values
* volume: 13.805 Å³ per atom

Energies in meV/atom, measured from the most stable structure: model one 93; model two 0; model three 35.